[1]
This record from Alexandria describes a geometry-optimized Rb2FeRh structure. The functional is PBEsol.

Geometry as extended XYZ:
```
4
Lattice="0.0000 3.8062 3.8062 3.8062 0.0000 3.8062 3.8062 3.8062 0.0000" Properties=species:S:1:pos:R:3 pbc="T T T"
Rb 1.9031 1.9031 1.9031
Rb 5.7094 5.7094 5.7094
Fe 0.0000 0.0000 0.0000
Rh 3.8062 3.8062 3.8062
```

Output
E_tot: -12.60 eV/f.u.
Fermi-level density of states: 4.5 states/eV/f.u.

[2]
This record from Alexandria describes a geometry-optimized TiAlIr2 structure. The functional is PBEsol.

Geometry as extended XYZ:
```
4
Lattice="0.0000 3.0438 3.0438 3.0438 0.0000 3.0438 3.0438 3.0438 0.0000" Properties=species:S:1:pos:R:3 pbc="T T T"
Ti 0.0000 0.0000 0.0000
Al 3.0438 3.0438 3.0438
Ir 1.5219 1.5219 1.5219
Ir 4.5656 4.5656 4.5656
```

Output
E_tot: -35.60 eV/f.u.
Fermi-level density of states: 4.5 states/eV/f.u.

[3]
This record from Alexandria describes a geometry-optimized LaAl2Ag3 structure. The functional is PBEsol.

Geometry as extended XYZ:
```
6
Lattice="5.6901 0.0000 0.0000 -2.8450 4.9278 0.0000 0.0000 0.0000 4.2027" Properties=species:S:1:pos:R:3 pbc="T T T"
La 0.0000 0.0000 0.0000
Al 0.0000 3.2852 0.0000
Al 2.8451 1.6426 0.0000
Ag -1.4225 2.4639 2.1014
Ag 2.8450 0.0000 2.1014
Ag 1.4225 2.4639 2.1014
```

Output
E_tot: -25.24 eV/f.u.
Fermi-level density of states: 3.4 states/eV/f.u.

[4]
This record from Alexandria describes a geometry-optimized InSi2Au structure. The functional is PBEsol.

Geometry as extended XYZ:
```
4
Lattice="-2.0917 2.0917 4.1266 2.0917 -2.0917 4.1266 2.0917 2.0917 -4.1266" Properties=species:S:1:pos:R:3 pbc="T T T"
In 0.0000 0.0000 0.0000
Si 2.0917 0.0000 2.0633
Si 0.0000 2.0917 2.0633
Au 0.0000 0.0000 4.1266
```

Output
E_form (uncorrected): 346 meV/atom
Fermi-level density of states: 1.3 states/eV/f.u.

[5]
This record from Alexandria describes a geometry-optimized CdAs4Os structure. The functional is PBEsol.

Geometry as extended XYZ:
```
6
Lattice="0.0000 3.8027 3.8027 3.8027 0.0000 3.8027 3.8027 3.8027 0.0000" Properties=species:S:1:pos:R:3 pbc="T T T"
Cd 0.0000 0.0000 0.0000
As 2.8519 2.8519 2.8519
As 4.7536 4.7536 2.8519
As 4.7536 2.8519 4.7536
As 2.8519 4.7536 4.7536
Os 5.7041 5.7041 5.7041
```

Output
E_tot: -28.00 eV/f.u.
Fermi-level density of states: 6.7 states/eV/f.u.

[6]
This record from Alexandria describes a geometry-optimized Sc2CdOs structure. The functional is PBEsol.

Geometry as extended XYZ:
```
4
Lattice="1.4934 0.8622 9.9850 -1.4934 0.8622 9.9850 0.0000 -1.7245 9.9850" Properties=species:S:1:pos:R:3 pbc="T T T"
Sc 0.0000 0.0000 2.4150
Sc 0.0000 0.0000 27.5399
Cd 0.0000 0.0000 14.9774
Os 0.0000 0.0000 0.0000
```

Output
E_tot: -25.15 eV/f.u.
Fermi-level density of states: 5.1 states/eV/f.u.

[7]
This record from Alexandria describes a geometry-optimized Ta2NiPb structure. The functional is PBEsol.

Geometry as extended XYZ:
```
4
Lattice="3.0567 0.0000 0.0000 0.0000 3.4884 0.0000 -1.4736 0.0000 6.8273" Properties=species:S:1:pos:R:3 pbc="T T T"
Ta 0.0000 0.0000 0.0000
Ta 0.0548 1.7442 5.1697
Ni 1.5271 1.7442 1.0985
Pb 1.6075 0.0000 3.1294
```

Output
E_tot: -34.38 eV/f.u.
Fermi-level density of states: 2.8 states/eV/f.u.

[8]
This record from Alexandria describes a geometry-optimized CrFe2Cu structure. The functional is PBEsol.

Geometry as extended XYZ:
```
4
Lattice="-1.7458 1.7458 3.5894 1.7458 -1.7458 3.5894 1.7458 1.7458 -3.5894" Properties=species:S:1:pos:R:3 pbc="T T T"
Cr 0.0000 0.0000 0.0000
Fe 0.0000 0.0000 3.5894
Fe 0.0000 1.7458 1.7947
Cu 1.7458 0.0000 1.7947
```

Output
E_tot: -31.79 eV/f.u.
Fermi-level density of states: 3.0 states/eV/f.u.

[9]
This record from Alexandria describes a geometry-optimized Cu2BrCl structure. The functional is PBEsol.

Geometry as extended XYZ:
```
4
Lattice="3.2556 -1.8821 0.0000 3.2556 1.8821 0.0000 -0.0095 0.0000 6.4443" Properties=species:S:1:pos:R:3 pbc="T T T"
Cu 0.0000 0.0000 0.0000
Cu 4.3394 0.0000 1.5157
Br 2.1630 0.0000 5.3693
Cl 0.0007 0.0000 2.2954
```

Output
Energy above the lowest structure with this stoichiometry: 9 meV per atom
E_form (uncorrected): -271 meV/atom

[10]
This record from Alexandria describes a geometry-optimized KNb6Se8 structure. The functional is PBEsol.

Geometry as extended XYZ:
```
15
Lattice="10.0298 0.0000 0.0000 -5.0149 8.6860 0.0000 0.0000 0.0000 3.4777" Properties=species:S:1:pos:R:3 pbc="T T T"
K 0.0000 0.0000 0.0000
Nb -2.0303 5.3811 0.8658
Nb 1.3698 4.2372 0.8658
Nb 4.3544 0.9323 2.6119
Nb 0.6605 7.7538 0.8658
Nb 3.6450 4.4489 2.6119
Nb 7.0452 3.3049 2.6119
Se -1.0980 2.9603 0.8787
Se -1.9022 8.1567 0.8787
Se 0.0000 5.7907 2.6061
Se 2.0147 2.4310 2.5989
Se 3.0002 6.2550 0.8787
Se 5.0149 2.8953 0.8715
Se 6.9171 0.5293 2.5989
Se 6.1128 5.7257 2.5989
```

Output
E_form (uncorrected): -955 meV/atom
Fermi-level density of states: 4.7 states/eV/f.u.

[11]
This record from Alexandria describes a geometry-optimized Na3HO structure. The functional is PBEsol.

Geometry as extended XYZ:
```
5
Lattice="4.4333 0.0000 0.0000 0.0000 4.4333 0.0000 0.0000 0.0000 4.4333" Properties=species:S:1:pos:R:3 pbc="T T T"
Na 0.0000 0.0000 2.2166
Na 0.0000 2.2166 0.0000
Na 2.2166 0.0000 0.0000
H 2.2166 2.2166 2.2166
O 0.0000 0.0000 0.0000
```

Output
Energy above the lowest structure with this stoichiometry: 0 meV per atom
Fermi-level density of states: 0.0 states/eV/f.u.

[12]
This record from Alexandria describes a geometry-optimized Sc2BeAu structure. The functional is PBEsol.

Geometry as extended XYZ:
```
4
Lattice="3.2961 0.0000 0.0000 0.0000 4.3330 0.0000 -0.6993 0.0000 4.9621" Properties=species:S:1:pos:R:3 pbc="T T T"
Sc 0.0000 0.0000 0.0000
Sc 0.1238 2.1665 2.8670
Be 1.7187 0.0000 2.2131
Au 1.7051 2.1665 0.6885
```

Output
E_tot: -22.80 eV/f.u.
Fermi-level density of states: 1.8 states/eV/f.u.